First-principles (PBE) data for an optimized crystal structure of TaBeAs2Se, as listed in Alexandria.

a = 5.0327 Å, b = 5.0327 Å, c = 4.9399 Å
α = 90.00°, β = 90.00°, γ = 90.00°
Space group P4/mmm (No. 123)
Symmetry-distinct sites (fractional):
Ta 0.0000 0.0000 0.0000 x1
Be 0.5000 0.5000 0.5000 x1
As 0.0000 0.5000 0.0000 x2
Se 0.0000 0.0000 0.5000 x1

Output
Energy above the most stable polymorph in this dataset = 0.000 eV per atom
Formation energy (no corrections) = 0.686 eV/atom

First-principles (PBE) data for an optimized crystal structure of BeTcAsSe2, as listed in Alexandria.

a = 4.6003 Å, b = 4.6003 Å, c = 4.2994 Å
α = 90.00°, β = 90.00°, γ = 90.00°
Space group P4/mmm (No. 123)
Symmetry-distinct sites (fractional):
Be 0.0000 0.0000 0.0000 x1
Tc 0.5000 0.5000 0.5000 x1
As 0.0000 0.0000 0.5000 x1
Se 0.0000 0.5000 0.0000 x2

Output
Energy above the most stable polymorph in this dataset = 0.000 eV per atom
Formation energy (no corrections) = 0.788 eV/atom

First-principles (PBE) data for an optimized crystal structure of BeTcAsSe2, as listed in Alexandria.

a = 4.9327 Å, b = 4.9327 Å, c = 4.7328 Å
α = 90.00°, β = 90.00°, γ = 90.00°
Space group P4/mmm (No. 123)
Symmetry-distinct sites (fractional):
Be 0.0000 0.0000 0.0000 x1
Tc 0.5000 0.5000 0.5000 x1
As 0.5000 0.5000 0.0000 x1
Se 0.0000 0.5000 0.5000 x2

Output
Energy above the most stable polymorph in this dataset = 0.065 eV per atom
Formation energy (no corrections) = 0.853 eV/atom

First-principles (PBE) data for an optimized crystal structure of BeTeAs2Se, as listed in Alexandria.

a = 5.3356 Å, b = 5.3356 Å, c = 5.3246 Å
α = 90.00°, β = 90.00°, γ = 90.00°
Space group P4/mmm (No. 123)
Symmetry-distinct sites (fractional):
Be 0.0000 0.0000 0.0000 x1
Te 0.5000 0.5000 0.5000 x1
As 0.0000 0.5000 0.5000 x2
Se 0.5000 0.5000 0.0000 x1

Output
Energy above the most stable polymorph in this dataset = 0.952 eV per atom
Formation energy (no corrections) = 1.362 eV/atom

First-principles (PBE) data for an optimized crystal structure of BeTeAs2Se, as listed in Alexandria.

a = 5.4289 Å, b = 5.4289 Å, c = 4.4754 Å
α = 90.00°, β = 90.00°, γ = 90.00°
Space group P4/mmm (No. 123)
Symmetry-distinct sites (fractional):
Be 0.0000 0.0000 0.0000 x1
Te 0.0000 0.0000 0.5000 x1
As 0.0000 0.5000 0.5000 x2
Se 0.5000 0.5000 0.0000 x1

Output
Energy above the most stable polymorph in this dataset = 0.669 eV per atom
Formation energy (no corrections) = 1.079 eV/atom

First-principles (PBE) data for an optimized crystal structure of BeTeAs2Se, as listed in Alexandria.

a = 4.6910 Å, b = 4.6910 Å, c = 4.5294 Å
α = 90.00°, β = 90.00°, γ = 90.00°
Space group P4/mmm (No. 123)
Symmetry-distinct sites (fractional):
Be 0.0000 0.0000 0.0000 x1
Te 0.5000 0.5000 0.5000 x1
As 0.0000 0.5000 0.0000 x2
Se 0.0000 0.0000 0.5000 x1

Output
Energy above the most stable polymorph in this dataset = 0.000 eV per atom
Formation energy (no corrections) = 0.410 eV/atom

First-principles (PBE) data for an optimized crystal structure of Th4BeAsSe2, as listed in Alexandria.

a = 7.2829 Å, b = 4.2105 Å, c = 7.3442 Å
α = 90.00°, β = 109.45°, γ = 90.00°
Space group P2/m (No. 10)
Symmetry-distinct sites (fractional):
Th 0.2283 0.0000 0.2316 x2
Th 0.2370 0.5000 0.7559 x2
Be 0.0000 0.5000 0.0000 x1
As 0.0000 0.0000 0.5000 x1
Se 0.5000 0.0000 0.0000 x1
Se 0.5000 0.5000 0.5000 x1

Output
Formation energy (no corrections) = -1.063 eV/atom

First-principles (PBE) data for an optimized crystal structure of TiBeAs2Se, as listed in Alexandria.

a = 4.2738 Å, b = 4.2738 Å, c = 5.0727 Å
α = 90.00°, β = 90.00°, γ = 90.00°
Space group P4/mmm (No. 123)
Symmetry-distinct sites (fractional):
Ti 0.0000 0.0000 0.0000 x1
Be 0.5000 0.5000 0.5000 x1
As 0.0000 0.5000 0.5000 x2
Se 0.5000 0.5000 0.0000 x1

Output
Energy above the most stable polymorph in this dataset = 0.000 eV per atom
Formation energy (no corrections) = 0.359 eV/atom

First-principles (PBE) data for an optimized crystal structure of TiBeAs2Se, as listed in Alexandria.

a = 4.9026 Å, b = 4.9026 Å, c = 4.8451 Å
α = 90.00°, β = 90.00°, γ = 90.00°
Space group P4/mmm (No. 123)
Symmetry-distinct sites (fractional):
Ti 0.0000 0.0000 0.0000 x1
Be 0.5000 0.5000 0.5000 x1
As 0.0000 0.5000 0.0000 x2
Se 0.0000 0.0000 0.5000 x1

Output
Energy above the most stable polymorph in this dataset = 0.140 eV per atom
Formation energy (no corrections) = 0.499 eV/atom

First-principles (PBE) data for an optimized crystal structure of BeTlAsSe2, as listed in Alexandria.

a = 5.0314 Å, b = 5.0314 Å, c = 4.3574 Å
α = 90.00°, β = 90.00°, γ = 90.00°
Space group P4/mmm (No. 123)
Symmetry-distinct sites (fractional):
Be 0.0000 0.0000 0.0000 x1
Tl 0.5000 0.5000 0.5000 x1
As 0.0000 0.0000 0.5000 x1
Se 0.0000 0.5000 0.0000 x2

Output
Energy above the most stable polymorph in this dataset = 0.000 eV per atom
Formation energy (no corrections) = 0.196 eV/atom

First-principles (PBE) data for an optimized crystal structure of BeTl2AsSe4, as listed in Alexandria.

a = 6.4119 Å, b = 6.4124 Å, c = 6.7395 Å
α = 62.90°, β = 62.96°, γ = 84.86°
Space group P1 (No. 1)
Symmetry-distinct sites (fractional):
Be 0.0000 0.0000 0.0000 x1
Tl 0.1867 0.8120 0.5002 x1
Tl 0.4573 0.5418 0.0001 x1
As 0.7208 0.2787 0.4999 x1
Se 0.0353 0.2726 0.6168 x1
Se 0.3590 0.0775 0.9536 x1
Se 0.7273 0.9640 0.3831 x1
Se 0.9220 0.6411 0.0462 x1

Output
Formation energy (no corrections) = -0.321 eV/atom

First-principles (PBE) data for an optimized crystal structure of BeTlAs2Se, as listed in Alexandria.

a = 4.5529 Å, b = 4.5529 Å, c = 5.2162 Å
α = 90.00°, β = 90.00°, γ = 90.00°
Space group P4/mmm (No. 123)
Symmetry-distinct sites (fractional):
Be 0.0000 0.0000 0.0000 x1
Tl 0.5000 0.5000 0.5000 x1
As 0.0000 0.5000 0.0000 x2
Se 0.0000 0.0000 0.5000 x1

Output
Energy above the most stable polymorph in this dataset = 0.000 eV per atom
Formation energy (no corrections) = 0.343 eV/atom

Q: Number 8 is which compound?
A: TiBeAs2Se

Q: Which of these has the lowest formation energy (no corrections)?
A: Th4BeAsSe2